1.
Below is a relaxed MnPRhAuI crystal, with properties calculated at the GGA-PBE level.

```
data_MnPRhAuI
_cell_length_a 6.7907
_cell_length_b 3.9193
_cell_length_c 8.0331
_cell_angle_alpha 90.00
_cell_angle_beta 106.24
_cell_angle_gamma 90.00
_space_group_name_H-M_alt 'C 1 m 1'
_space_group_IT_number 8
loop_
_space_group_symop_operation_xyz
'x,y,z'
'x,-y,z'
'x+1/2,y+1/2,z'
'x+1/2,-y+1/2,z'
loop_
_atom_site_label
_atom_site_type_symbol
_atom_site_fract_x
_atom_site_fract_y
_atom_site_fract_z
Mn1 Mn 0.0000 0.0000 0.0000
P1 P 0.1963 0.5000 0.0895
Rh1 Rh 0.3971 0.0000 0.1927
Au1 Au 0.1349 0.0000 0.4072
I1 I 0.3844 0.5000 0.6552
```

Calculated values
* final energy: -5.5085 eV per atom
* crystal system: monoclinic
* ΔE to the lowest computed polymorph: 0 meV/atom
* volume: 205.3 Å³ per cell
* total magnetic moment: 6.561 Bohr magnetons per cell
* energy relative to the elements, uncorrected: -157 meV per atom

2.
Below is a relaxed MnPRhAuI crystal, with properties calculated at the GGA-PBE level.

```
data_MnPRhAuI
_cell_length_a 3.7589
_cell_length_b 4.3691
_cell_length_c 13.9825
_cell_angle_alpha 90.00
_cell_angle_beta 90.00
_cell_angle_gamma 90.00
_space_group_name_H-M_alt 'A m m 2'
_space_group_IT_number 38
loop_
_space_group_symop_operation_xyz
'x,y,z'
'-x,-y,z'
'-x,y,z'
'x,-y,z'
'x,y+1/2,z+1/2'
'-x,-y+1/2,z+1/2'
'-x,y+1/2,z+1/2'
'x,-y+1/2,z+1/2'
loop_
_atom_site_label
_atom_site_type_symbol
_atom_site_fract_x
_atom_site_fract_y
_atom_site_fract_z
Mn1 Mn 0.0000 0.0000 0.0000
P1 P 0.5000 0.0000 0.0985
Rh1 Rh 0.0000 0.0000 0.1911
Au1 Au 0.5000 0.0000 0.6772
I1 I 0.0000 0.0000 0.3856
```

Calculated values
* final energy: -5.4216 eV per atom
* crystal system: orthorhombic
* ΔE to the lowest computed polymorph: 87 meV/atom
* volume: 229.6 Å³ per cell
* total magnetic moment: 6.791 Bohr magnetons per cell
* energy relative to the elements, uncorrected: -70 meV per atom

3.
Below is a relaxed MnPRhAuI crystal, with properties calculated at the GGA-PBE level.

```
data_MnPRhAuI
_cell_length_a 3.8681
_cell_length_b 3.8735
_cell_length_c 8.2092
_cell_angle_alpha 103.30
_cell_angle_beta 90.20
_cell_angle_gamma 119.89
_space_group_name_H-M_alt 'P 1'
_space_group_IT_number 1
loop_
_space_group_symop_operation_xyz
'x,y,z'
loop_
_atom_site_label
_atom_site_type_symbol
_atom_site_fract_x
_atom_site_fract_y
_atom_site_fract_z
Mn1 Mn 0.0000 0.0000 0.0000
P1 P 0.3644 0.7274 0.0928
Rh1 Rh 0.7325 0.4619 0.1971
Au1 Au 0.1368 0.2659 0.4098
I1 I 0.8894 0.7786 0.6682
```

Calculated values
* final energy: -5.4957 eV per atom
* crystal system: triclinic
* ΔE to the lowest computed polymorph: 13 meV/atom
* volume: 102.8 Å³ per cell
* total magnetic moment: 3.196 Bohr magnetons per cell
* energy relative to the elements, uncorrected: -144 meV per atom

4.
Below is a relaxed MnPRhAuI crystal, with properties calculated at the GGA-PBE level.

```
data_MnPRhAuI
_cell_length_a 9.5803
_cell_length_b 3.5396
_cell_length_c 6.3949
_cell_angle_alpha 90.00
_cell_angle_beta 104.09
_cell_angle_gamma 90.00
_space_group_name_H-M_alt 'C 1 m 1'
_space_group_IT_number 8
loop_
_space_group_symop_operation_xyz
'x,y,z'
'x,-y,z'
'x+1/2,y+1/2,z'
'x+1/2,-y+1/2,z'
loop_
_atom_site_label
_atom_site_type_symbol
_atom_site_fract_x
_atom_site_fract_y
_atom_site_fract_z
Mn1 Mn 0.0000 0.0000 0.0000
P1 P 0.0315 0.5000 0.2491
Rh1 Rh 0.4893 0.5000 0.4426
Au1 Au 0.2409 0.5000 0.1047
I1 I 0.3495 0.0000 0.6738
```

Calculated values
* final energy: -5.3117 eV per atom
* crystal system: monoclinic
* ΔE to the lowest computed polymorph: 197 meV/atom
* volume: 210.3 Å³ per cell
* total magnetic moment: 6.547 Bohr magnetons per cell
* energy relative to the elements, uncorrected: 40 meV per atom

5.
Below is a relaxed MnPRhAuI crystal, with properties calculated at the GGA-PBE level.

```
data_MnPRhAuI
_cell_length_a 15.0150
_cell_length_b 3.5326
_cell_length_c 4.4066
_cell_angle_alpha 90.00
_cell_angle_beta 92.96
_cell_angle_gamma 90.00
_space_group_name_H-M_alt 'C 1 m 1'
_space_group_IT_number 8
loop_
_space_group_symop_operation_xyz
'x,y,z'
'x,-y,z'
'x+1/2,y+1/2,z'
'x+1/2,-y+1/2,z'
loop_
_atom_site_label
_atom_site_type_symbol
_atom_site_fract_x
_atom_site_fract_y
_atom_site_fract_z
Mn1 Mn 0.0000 0.0000 0.0000
P1 P 0.0699 0.0000 0.4958
Rh1 Rh 0.1157 0.5000 0.7897
Au1 Au 0.2010 0.0000 0.2239
I1 I 0.3597 0.0000 0.9147
```

Calculated values
* final energy: -5.3836 eV per atom
* crystal system: monoclinic
* ΔE to the lowest computed polymorph: 125 meV/atom
* volume: 233.4 Å³ per cell
* total magnetic moment: 9.235 Bohr magnetons per cell
* energy relative to the elements, uncorrected: -32 meV per atom

6.
Below is a relaxed MnPRhAuI crystal, with properties calculated at the GGA-PBE level.

```
data_MnPRhAuI
_cell_length_a 14.0147
_cell_length_b 3.7621
_cell_length_c 4.9982
_cell_angle_alpha 90.00
_cell_angle_beta 108.22
_cell_angle_gamma 90.00
_space_group_name_H-M_alt 'C 1 m 1'
_space_group_IT_number 8
loop_
_space_group_symop_operation_xyz
'x,y,z'
'x,-y,z'
'x+1/2,y+1/2,z'
'x+1/2,-y+1/2,z'
loop_
_atom_site_label
_atom_site_type_symbol
_atom_site_fract_x
_atom_site_fract_y
_atom_site_fract_z
Mn1 Mn 0.0000 0.0000 0.0000
P1 P 0.1080 0.5000 0.2222
Rh1 Rh 0.1702 0.0000 0.4435
Au1 Au 0.0880 0.5000 0.7251
I1 I 0.3441 0.0000 0.8737
```

Calculated values
* final energy: -5.3861 eV per atom
* crystal system: monoclinic
* ΔE to the lowest computed polymorph: 122 meV/atom
* volume: 250.3 Å³ per cell
* total magnetic moment: 7.592 Bohr magnetons per cell
* energy relative to the elements, uncorrected: -34 meV per atom

7.
Below is a relaxed MnPRhAuI crystal, with properties calculated at the GGA-PBE level.

```
data_MnPRhAuI
_cell_length_a 3.6457
_cell_length_b 4.6185
_cell_length_c 7.1432
_cell_angle_alpha 78.22
_cell_angle_beta 76.66
_cell_angle_gamma 79.97
_space_group_name_H-M_alt 'P 1'
_space_group_IT_number 1
loop_
_space_group_symop_operation_xyz
'x,y,z'
loop_
_atom_site_label
_atom_site_type_symbol
_atom_site_fract_x
_atom_site_fract_y
_atom_site_fract_z
Mn1 Mn 0.0000 0.0000 0.0000
P1 P 0.6023 0.9875 0.7910
Rh1 Rh 0.1969 0.9197 0.6098
Au1 Au 0.4501 0.4614 0.9176
I1 I 0.8674 0.7016 0.3632
```

Calculated values
* final energy: -5.3382 eV per atom
* crystal system: triclinic
* ΔE to the lowest computed polymorph: 170 meV/atom
* volume: 113.5 Å³ per cell
* total magnetic moment: 3.508 Bohr magnetons per cell
* energy relative to the elements, uncorrected: 13 meV per atom

8.
Below is a relaxed MnPRhAuI crystal, with properties calculated at the GGA-PBE level.

```
data_MnPRhAuI
_cell_length_a 3.7819
_cell_length_b 3.7829
_cell_length_c 8.0773
_cell_angle_alpha 76.68
_cell_angle_beta 76.61
_cell_angle_gamma 60.03
_space_group_name_H-M_alt 'P 1'
_space_group_IT_number 1
loop_
_space_group_symop_operation_xyz
'x,y,z'
loop_
_atom_site_label
_atom_site_type_symbol
_atom_site_fract_x
_atom_site_fract_y
_atom_site_fract_z
Mn1 Mn 0.0000 0.0000 0.0000
P1 P 0.6234 0.6244 0.1304
Rh1 Rh 0.2553 0.2570 0.2353
Au1 Au 0.8480 0.8490 0.4575
I1 I 0.4208 0.4130 0.7362
```

Calculated values
* final energy: -5.4970 eV per atom
* crystal system: triclinic
* ΔE to the lowest computed polymorph: 12 meV/atom
* volume: 96.5 Å³ per cell
* total magnetic moment: 3.380 Bohr magnetons per cell
* energy relative to the elements, uncorrected: -145 meV per atom